# 1
AcHoTlSn, relaxed, DFT PBE-GGA; E = -4.1916 eV/atom; density = 9.6 g/cm3; total moment = 0.0 Bohr magnetons per cell
1.0
-5.361 -1.591 -0.028
-2.147 -2.669 4.420
-3.701 2.585 3.300
Sn Tl Ho Ac
1 1 1 1
Cartesian
-2.802 -0.419 1.923 Sn
-8.407 -1.256 5.769 Tl
0.000 0.000 0.000 Ho
-5.604 -0.837 3.846 Ac

***

# 2
AcHo2Zn2Sn2, relaxed, DFT PBE-GGA; E = -3.7492 eV/atom; density = 8.2 g/cm3; total moment = 0.0 Bohr magnetons per cell
1.0
4.768 0.000 0.000
2.384 4.129 0.000
2.384 1.376 9.521
Zn Ho Ac Sn
2 2 1 2
Cartesian
4.768 2.753 6.762 Zn
4.768 2.753 2.759 Zn
2.384 1.376 5.695 Ho
7.152 4.129 3.826 Ho
0.000 0.000 0.000 Ac
7.152 4.129 7.399 Sn
2.384 1.376 2.122 Sn